Entry 1:
{
  "formula": "Er3Ag",
  "functional": "PBE",
  "state": "optimized geometry",
  "lattice_angstrom": [[4.736, 0.000, 0.000], [0.000, 4.736, 0.000], [0.000, 0.000, 4.736]],
  "species": ["Er", "Er", "Er", "Ag"],
  "fractional_positions": [[0.000, 0.000, 0.500], [0.000, 0.500, 0.000], [0.500, 0.000, 0.000], [0.500, 0.500, 0.500]],
  "e_above_lowest_polymorph_ev_per_atom": 0.149,
  "mass_density_g_cm3": 9.5,
  "spacegroup": "Pm-3m, No. 221"
}

***

Entry 2:
{
  "formula": "Er4Ag3",
  "functional": "PBE",
  "state": "optimized geometry",
  "lattice_angstrom": [[6.829, 3.943, 2.116], [-6.829, 3.943, 2.116], [0.000, -7.886, 2.116]],
  "species": ["Er", "Er", "Er", "Er", "Er", "Er", "Er", "Er", "Ag", "Ag", "Ag", "Ag", "Ag", "Ag"],
  "fractional_positions": [[0.000, 0.000, 0.000], [0.079, 0.632, 0.779], [0.221, 0.921, 0.368], [0.368, 0.221, 0.921], [0.500, 0.500, 0.500], [0.632, 0.779, 0.079], [0.779, 0.079, 0.632], [0.921, 0.368, 0.221], [0.130, 0.261, 0.537], [0.261, 0.537, 0.130], [0.463, 0.870, 0.739], [0.537, 0.130, 0.261], [0.739, 0.463, 0.870], [0.870, 0.739, 0.463]],
  "mass_density_g_cm3": 9.6,
  "spacegroup": "R-3, No. 148"
}

***

Entry 3:
{
  "formula": "Er3Ag",
  "functional": "PBE",
  "state": "optimized geometry",
  "lattice_angstrom": [[3.522, 0.000, 0.000], [0.000, 3.522, 0.000], [0.000, 0.000, 8.786]],
  "species": ["Er", "Er", "Er", "Ag"],
  "fractional_positions": [[0.000, 0.000, 0.000], [0.500, 0.500, 0.284], [0.500, 0.500, 0.716], [0.000, 0.000, 0.500]],
  "e_above_lowest_polymorph_ev_per_atom": 0.000,
  "mass_density_g_cm3": 9.3,
  "spacegroup": "P4/mmm, No. 123"
}

***

Number 1: calculated formation energy 0.01 eV/atom, D(E_F) 1.5170 states/eV/atom. Number 2: calculated formation energy -0.22 eV/atom, D(E_F) 0.7473 states/eV/atom. Number 3: calculated formation energy -0.13 eV/atom, D(E_F) 1.1094 states/eV/atom.